{
  "formula": "RbTi2GaCl8",
  "functional": "GGA-PBE",
  "state": "optimized geometry",
  "formation_energy_uncorrected_ev_per_atom": -1.440,
  "vol_a3_per_atom": 34.8,
  "space_group": "P-3, No. 147",
  "lattice_angstrom": [[6.921, 0.000, 0.000], [-3.461, 5.994, 0.000], [0.000, 0.000, 10.068]],
  "species": ["Rb", "Ti", "Ti", "Ga", "Cl", "Cl", "Cl", "Cl", "Cl", "Cl", "Cl", "Cl"],
  "fractional_positions": [[0.000, 0.000, 0.000], [0.333, 0.667, 0.768], [0.667, 0.333, 0.232], [0.000, 0.000, 0.500], [0.034, 0.337, 0.701], [0.303, 0.966, 0.701], [0.333, 0.667, 0.993], [0.337, 0.303, 0.299], [0.663, 0.697, 0.701], [0.667, 0.333, 0.007], [0.697, 0.034, 0.299], [0.966, 0.663, 0.299]]
}